Entry 1:
Material: SrLi2Br
Method: DFT, GGA-PBE
State: optimized geometry

```
data_SrLi2Br
_chemical_formula_sum 'Sr3 Li6 Br3'
_space_group_name_H-M_alt 'R 3 m'
_space_group_IT_number 160
_space_group_name_Hall 'R 3 -2"'
_cell_length_a 4.0011
_cell_length_b 4.0011
_cell_length_c 26.1270
_cell_angle_alpha 90.00
_cell_angle_beta 90.00
_cell_angle_gamma 120.00
loop_
_atom_site_label
_atom_site_type_symbol
_atom_site_fract_x
_atom_site_fract_y
_atom_site_fract_z
Sr1 Sr 0.0000 0.0000 0.0000
Li1 Li 0.0000 0.0000 0.1502
Li2 Li 0.0000 0.0000 0.5669
Br1 Br 0.0000 0.0000 0.4279
```

The calculation puts the formation energy without anion corrections at -0.606 eV per atom. Its total energy is -2.4019 eV/atom.

***

Entry 2:
Material: Ce3CuC
Method: DFT, GGA-PBE
State: optimized geometry

```
data_Ce3CuC
_chemical_formula_sum 'Ce12 Cu4 C4'
_space_group_name_H-M_alt 'C 1 2/m 1'
_space_group_IT_number 12
_cell_length_a 11.1753
_cell_length_b 5.1532
_cell_length_c 7.8079
_cell_angle_alpha 90.00
_cell_angle_beta 112.13
_cell_angle_gamma 90.00
loop_
_space_group_symop_operation_xyz
'x,y,z'
'-x,-y,-z'
'-x,y,-z'
'x,-y,z'
'x+1/2,y+1/2,z'
'-x+1/2,-y+1/2,-z'
'-x+1/2,y+1/2,-z'
'x+1/2,-y+1/2,z'
loop_
_atom_site_label
_atom_site_type_symbol
_atom_site_fract_x
_atom_site_fract_y
_atom_site_fract_z
Ce1 Ce 0.1144 0.0000 0.2259
Ce2 Ce 0.1309 0.5000 0.9122
Ce3 Ce 0.1386 0.0000 0.6151
Cu1 Cu 0.0926 0.5000 0.4400
C1 C 0.1278 0.0000 0.9221
```

Its formation energy from the elements is -0.10 eV per atom. Its total energy is -6.3263 eV/atom.

***

Entry 3:
Material: PrGa2GePd
Method: DFT, GGA-PBE
State: optimized geometry

```
data_PrGa2GePd
_chemical_formula_sum 'Pr2 Ga4 Ge2 Pd2'
_space_group_name_H-M_alt 'I m m 2'
_space_group_IT_number 44
_cell_length_a 4.1952
_cell_length_b 4.2905
_cell_length_c 10.8529
_cell_angle_alpha 90.00
_cell_angle_beta 90.00
_cell_angle_gamma 90.00
loop_
_space_group_symop_operation_xyz
'x,y,z'
'-x,-y,z'
'-x,y,z'
'x,-y,z'
'x+1/2,y+1/2,z+1/2'
'-x+1/2,-y+1/2,z+1/2'
'-x+1/2,y+1/2,z+1/2'
'x+1/2,-y+1/2,z+1/2'
loop_
_atom_site_label
_atom_site_type_symbol
_atom_site_fract_x
_atom_site_fract_y
_atom_site_fract_z
Pr1 Pr 0.0000 0.0000 0.0000
Ga1 Ga 0.0000 0.0000 0.3820
Ga2 Ga 0.0000 0.5000 0.2545
Ge1 Ge 0.0000 0.0000 0.6130
Pd1 Pd 0.0000 0.5000 0.7457
```

Its formation energy from the elements is -0.69 eV per atom. Its total energy is -4.8183 eV/atom.

***

Entry 4:
Material: TiCrCuS4
Method: DFT, GGA-PBE
State: optimized geometry

```
data_TiCrCuS4
_chemical_formula_sum 'Ti4 Cr4 Cu4 S16'
_space_group_name_H-M_alt 'P m m n'
_space_group_IT_number 59
_cell_length_a 6.8507
_cell_length_b 12.3594
_cell_length_c 5.8728
_cell_angle_alpha 90.00
_cell_angle_beta 90.00
_cell_angle_gamma 90.00
loop_
_space_group_symop_operation_xyz
'x,y,z'
'-x,-y,-z'
'-x+1/2,-y+1/2,z'
'x+1/2,y+1/2,-z'
'x+1/2,-y,-z'
'-x+1/2,y,z'
'-x,y+1/2,-z'
'x,-y+1/2,z'
loop_
_atom_site_label
_atom_site_type_symbol
_atom_site_fract_x
_atom_site_fract_y
_atom_site_fract_z
Ti1 Ti 0.0000 0.0000 0.0000
Cr1 Cr 0.2500 0.0030 0.4974
Cu1 Cu 0.2500 0.2500 0.8724
Cu2 Cu 0.2500 0.7500 0.5387
S1 S 0.0024 0.1151 0.6608
S2 S 0.2500 0.1139 0.1623
S3 S 0.2500 0.6127 0.8250
```

The calculation puts the formation energy without anion corrections at -0.755 eV per atom. Its total energy is -6.2017 eV/atom.

***

Repeat the second record exactly.
Material: Ce3CuC
Method: DFT, GGA-PBE
State: optimized geometry

```
data_Ce3CuC
_chemical_formula_sum 'Ce12 Cu4 C4'
_space_group_name_H-M_alt 'C 1 2/m 1'
_space_group_IT_number 12
_cell_length_a 11.1753
_cell_length_b 5.1532
_cell_length_c 7.8079
_cell_angle_alpha 90.00
_cell_angle_beta 112.13
_cell_angle_gamma 90.00
loop_
_space_group_symop_operation_xyz
'x,y,z'
'-x,-y,-z'
'-x,y,-z'
'x,-y,z'
'x+1/2,y+1/2,z'
'-x+1/2,-y+1/2,-z'
'-x+1/2,y+1/2,-z'
'x+1/2,-y+1/2,z'
loop_
_atom_site_label
_atom_site_type_symbol
_atom_site_fract_x
_atom_site_fract_y
_atom_site_fract_z
Ce1 Ce 0.1144 0.0000 0.2259
Ce2 Ce 0.1309 0.5000 0.9122
Ce3 Ce 0.1386 0.0000 0.6151
Cu1 Cu 0.0926 0.5000 0.4400
C1 C 0.1278 0.0000 0.9221
```

Its formation energy from the elements is -0.10 eV per atom. Its total energy is -6.3263 eV/atom.